The following is a DFT calculation (PBE-GGA) of an optimized crystal structure of Li6Cd8Hg.

a = 7.3205 Å, b = 7.3205 Å, c = 7.3205 Å
α = 65.65°, β = 65.65°, γ = 65.65°
Fractional positions:
Hg  0.0000  0.0000  0.0000
Cd  0.1127  0.4667  0.7774
Li  0.2829  0.6291  0.9408
Cd  0.4667  0.7774  0.1127
Li  0.7171  0.3709  0.0592
Li  0.9408  0.2829  0.6291
Cd  0.7774  0.1127  0.4667
Cd  0.6770  0.6770  0.6770
Cd  0.3230  0.3230  0.3230
Li  0.0592  0.7171  0.3709
Li  0.3709  0.0592  0.7171
Cd  0.2226  0.8873  0.5333
Li  0.6291  0.9408  0.2829
Cd  0.8873  0.5333  0.2226
Cd  0.5333  0.2226  0.8873

Results
size of the total moment = 0.00 μB per formula unit
formation energy = -0.142 eV/atom

=====

The following is a DFT calculation (PBE-GGA) of an optimized crystal structure of Nd7Ni2Ag2.

a = 6.9719 Å, b = 7.1499 Å, c = 6.9719 Å
α = 90.00°, β = 111.79°, γ = 90.00°
Fractional positions:
Ni  0.6973  0.0000  0.3027
Ag  0.8256  0.5000  0.8256
Nd  0.0000  0.0000  0.0000
Nd  0.5002  0.7574  0.4998
Nd  0.5003  0.7469  0.9998
Nd  0.9998  0.2531  0.5003
Nd  0.4998  0.2426  0.5002
Nd  0.0002  0.7469  0.4997
Ag  0.1744  0.5000  0.1744
Nd  0.4997  0.2531  0.0002
Ni  0.3027  0.0000  0.6973

Results
size of the total moment = 0.00 μB per formula unit
formation energy = -0.077 eV/atom

=====

The following is a DFT calculation (PBE-GGA) of an optimized crystal structure of Ta2Rh.

a = 5.3392 Å, b = 5.3392 Å, c = 8.6080 Å
α = 90.00°, β = 90.00°, γ = 120.00°
Fractional positions:
Ta  0.8307  0.1693  0.2500
Ta  0.0000  0.0000  0.0000
Ta  0.0000  0.0000  0.5000
Ta  0.6615  0.8307  0.7500
Rh  0.3333  0.6667  0.4448
Ta  0.1693  0.3385  0.7500
Rh  0.6667  0.3333  0.9448
Ta  0.8307  0.6615  0.2500
Ta  0.1693  0.8307  0.7500
Rh  0.6667  0.3333  0.5552
Ta  0.3385  0.1693  0.2500
Rh  0.3333  0.6667  0.0552

Results
size of the total moment = 0.00 μB per formula unit
formation energy = 0.316 eV/atom

=====

The following is a DFT calculation (PBE-GGA) of an optimized crystal structure of InCu2TeO6.

a = 5.5781 Å, b = 6.7842 Å, c = 6.7842 Å
α = 87.81°, β = 84.07°, γ = 84.07°
Last column: magnetic moment on the atom in μB.
Fractional positions:
O  0.6407  0.4661  0.2770  0.08
O  0.9226  0.3607  0.8527  0.02
O  0.4226  0.8527  0.3607  0.02
Cu  0.3067  0.4160  0.2395  0.40
O  0.8593  0.7230  0.5339  0.08
Te  0.2500  0.2688  0.7312  -0.01
Cu  0.8067  0.2395  0.4160  0.40
O  0.8700  0.0123  0.2101  0.02
O  0.3700  0.2101  0.0123  0.02
Cu  0.1933  0.7605  0.5840  0.40
O  0.1300  0.9877  0.7899  0.02
O  0.0774  0.6393  0.1473  0.02
O  0.6300  0.7899  0.9877  0.02
O  0.5774  0.1473  0.6393  0.02
O  0.3593  0.5339  0.7230  0.08
Te  0.7500  0.7312  0.2688  -0.01
In  0.2500  0.9088  0.0912  0.00
Cu  0.6933  0.5840  0.7605  0.40
In  0.7500  0.0912  0.9088  0.00
O  0.1407  0.2770  0.4661  0.08

Results
calculated total energy = -5.28 eV/atom
size of the total moment = 1.07 μB per formula unit

=====

The following is a DFT calculation (PBE-GGA) of an optimized crystal structure of LaSn3Rh.

a = 6.2978 Å, b = 6.0956 Å, c = 6.7135 Å
α = 90.00°, β = 89.99°, γ = 90.00°
Fractional positions:
Rh  0.1669  0.7868  0.7008
La  0.4074  0.3155  0.7007
Sn  0.3665  0.2782  0.2007
Rh  0.6670  0.5660  0.2008
Sn  0.9687  0.5122  0.9417
La  0.9074  0.0372  0.2007
Sn  0.8664  0.0746  0.7007
Sn  0.4686  0.8405  0.9600
Sn  0.4687  0.8405  0.4417
Sn  0.9687  0.5123  0.4599

Results
size of the total moment = 0.00 μB per formula unit
formation energy = -0.649 eV/atom